No. 1
# TbNdHgRu, optimized geometry, DFT GGA-PBE
data_TbNdHgRu
_cell_length_a 3.534
_cell_length_b 3.534
_cell_length_c 7.694
_cell_angle_alpha 90.00
_cell_angle_beta 90.00
_cell_angle_gamma 90.00
_symmetry_space_group_name_H-M 'P 4 m m'
_symmetry_Int_Tables_number 99
loop_
_symmetry_equiv_pos_as_xyz
'x,y,z'
'-y,x,z'
'-x,-y,z'
'y,-x,z'
'-x,y,z'
'y,x,z'
'x,-y,z'
'-y,-x,z'
loop_
_atom_site_label
_atom_site_type_symbol
_atom_site_fract_x
_atom_site_fract_y
_atom_site_fract_z
Tb1 Tb 0.000 0.000 0.000
Nd1 Nd 0.000 0.000 0.440
Hg1 Hg 0.500 0.500 0.733
Ru1 Ru 0.500 0.500 0.210
# ΔE_f (eV/f.u.): -1.56
# Spin magnetization (Bohr magnetons per cell): 0.00
# Crystal system: tetragonal
# Volume (A^3/atom): 24.0
# Excess energy over the best structure of this formula in the dataset (meV per atom): 0
# DOS at the Fermi energy (states/eV/f.u.): 3.5

No. 2
# Al2SbBr, optimized geometry, DFT GGA-PBE
data_Al2SbBr
_cell_length_a 3.279
_cell_length_b 4.798
_cell_length_c 11.995
_cell_angle_alpha 90.00
_cell_angle_beta 90.00
_cell_angle_gamma 90.00
_symmetry_space_group_name_H-M 'I m m 2'
_symmetry_Int_Tables_number 44
loop_
_symmetry_equiv_pos_as_xyz
'x,y,z'
'-x,-y,z'
'-x,y,z'
'x,-y,z'
'x+1/2,y+1/2,z+1/2'
'-x+1/2,-y+1/2,z+1/2'
'-x+1/2,y+1/2,z+1/2'
'x+1/2,-y+1/2,z+1/2'
loop_
_atom_site_label
_atom_site_type_symbol
_atom_site_fract_x
_atom_site_fract_y
_atom_site_fract_z
Al1 Al 0.000 0.000 0.000
Al2 Al 0.000 0.500 0.303
Sb1 Sb 0.000 0.500 0.708
Br1 Br 0.000 0.000 0.491
# Spin magnetization (Bohr magnetons per cell): 0.00
# Crystal system: orthorhombic
# Volume (A^3/atom): 23.6
# Excess energy over the best structure of this formula in the dataset (meV per atom): 162
# Formation energy without anion corrections (eV per atom): 0.03
# DOS at the Fermi energy (states/eV/f.u.): 1.3

Copy entry 1 word for word.
# TbNdHgRu, optimized geometry, DFT GGA-PBE
data_TbNdHgRu
_cell_length_a 3.534
_cell_length_b 3.534
_cell_length_c 7.694
_cell_angle_alpha 90.00
_cell_angle_beta 90.00
_cell_angle_gamma 90.00
_symmetry_space_group_name_H-M 'P 4 m m'
_symmetry_Int_Tables_number 99
loop_
_symmetry_equiv_pos_as_xyz
'x,y,z'
'-y,x,z'
'-x,-y,z'
'y,-x,z'
'-x,y,z'
'y,x,z'
'x,-y,z'
'-y,-x,z'
loop_
_atom_site_label
_atom_site_type_symbol
_atom_site_fract_x
_atom_site_fract_y
_atom_site_fract_z
Tb1 Tb 0.000 0.000 0.000
Nd1 Nd 0.000 0.000 0.440
Hg1 Hg 0.500 0.500 0.733
Ru1 Ru 0.500 0.500 0.210
# ΔE_f (eV/f.u.): -1.56
# Spin magnetization (Bohr magnetons per cell): 0.00
# Crystal system: tetragonal
# Volume (A^3/atom): 24.0
# Excess energy over the best structure of this formula in the dataset (meV per atom): 0
# DOS at the Fermi energy (states/eV/f.u.): 3.5